[1]
The following is a DFT calculation (GGA-PBEsol) of a relaxed ScAsIr crystal.

Lattice parameters (Å, degrees): 3.116 3.986 8.015 90.00 90.00 90.00
Element x y z (fractional)
Sc (0.000, 0.000, 0.000)
Sc (0.500, 0.500, 0.500)
As (0.000, 0.000, 0.672)
As (0.500, 0.500, 0.172)
Ir (0.000, 0.000, 0.354)
Ir (0.500, 0.500, 0.854)

Its density of states at the Fermi level is 0.570 states/eV/atom. The total magnetization is 0.00 μB/cell. Its total energy is -46.24 eV for the cell shown. The formation energy is -0.53 eV/atom.


[2]
The following is a DFT calculation (GGA-PBEsol) of a relaxed GePdF2 crystal.

Lattice parameters (Å, degrees): 5.851 5.851 5.851 90.00 90.00 90.00
Element x y z (fractional)
Ge (0.000, 0.000, 0.000)
Ge (0.000, 0.500, 0.500)
Ge (0.500, 0.000, 0.500)
Ge (0.500, 0.500, 0.000)
Pd (0.000, 0.000, 0.500)
Pd (0.000, 0.500, 0.000)
Pd (0.500, 0.000, 0.000)
Pd (0.500, 0.500, 0.500)
F (0.250, 0.250, 0.250)
F (0.250, 0.250, 0.750)
F (0.250, 0.750, 0.250)
F (0.250, 0.750, 0.750)
F (0.750, 0.250, 0.250)
F (0.750, 0.250, 0.750)
F (0.750, 0.750, 0.250)
F (0.750, 0.750, 0.750)

As for the formation energy (no corrections): -0.81 eV per atom. Its density of states at the Fermi level is 0.063 states/eV/atom. The total magnetization is 0.00 μB/cell. Its total energy is -71.97 eV for the cell shown.


[3]
The following is a DFT calculation (GGA-PBEsol) of a relaxed LiZn2Re crystal.

Lattice parameters (Å, degrees): 2.761 4.383 4.386 90.00 90.00 90.00
Element x y z (fractional)
Li (0.000, 0.000, 0.000)
Zn (0.000, 0.500, 0.500)
Zn (0.500, 0.000, 0.500)
Re (0.500, 0.500, 0.000)

Its density of states at the Fermi level is 0.369 states/eV/atom. The total magnetization is 0.00 μB/cell. Its total energy is -17.18 eV for the cell shown. The formation energy is 0.32 eV/atom. The polymorph energy (0 for the lowest one) is 0.251 eV/atom.


[4]
The following is a DFT calculation (GGA-PBEsol) of a relaxed CsWCS2 crystal.

Lattice parameters (Å, degrees): 4.274 4.274 4.465 90.00 90.00 90.00
Element x y z (fractional)
Cs (0.000, 0.000, 0.000)
W (0.500, 0.500, 0.000)
C (0.000, 0.000, 0.500)
S (0.000, 0.500, 0.500)
S (0.500, 0.000, 0.500)

As for the formation energy (no corrections): 2.13 eV per atom. Its density of states at the Fermi level is 0.824 states/eV/atom. The total magnetization is 0.27 μB/cell. Its total energy is -22.49 eV for the cell shown.